# MnOs2F | Alexandria | GGA+U | relaxed
data_MnOs2F
_chemical_formula_sum 'Mn1 Os2 F1'
_cell_length_a 4.230
_cell_length_b 4.230
_cell_length_c 4.230
_cell_angle_alpha 60.00
_cell_angle_beta 60.00
_cell_angle_gamma 60.00
_symmetry_space_group_name_H-M 'P 1'
_symmetry_Int_Tables_number 1
loop_
_symmetry_equiv_pos_as_xyz
'x,y,z'
loop_
_atom_site_label
_atom_site_type_symbol
_atom_site_fract_x
_atom_site_fract_y
_atom_site_fract_z
Mn1 Mn 0.500 0.500 0.500
Os1 Os 0.250 0.250 0.250
Os2 Os 0.750 0.750 0.750
F1 F 0.000 0.000 0.000
# SG: Fm-3m (225)
# Energy relative to the lowest polymorph listed for this composition in meV per atom: 111